[1]
VASP calculation (GGA-PBE) on a relaxed structure of PIr4Pb.

The space group is F-43m (No. 216) and the conventional cell measures 7.5123, 7.5123 and 7.5123 Å, with angles of 90.00, 90.00 and 90.00 degrees. The distinct sites, in fractional coordinates, are P at (0.0000, 0.0000, 0.0000), Ir at (0.1254, 0.1254, 0.3746) and Pb at (0.2500, 0.2500, 0.7500).

The formation energy comes out at 723 meV per atom. As for the uncorrected energy: -6.70 eV per atom.

=====

[2]
VASP calculation (GGA-PBE) on a relaxed structure of P2IrPb2.

The space group is P4/mbm (No. 127) and the conventional cell measures 6.0740, 6.0740 and 5.7113 Å, with angles of 90.00, 90.00 and 90.00 degrees. The distinct sites, in fractional coordinates, are P at (0.1283, 0.3717, 0.0000), Ir at (0.0000, 0.0000, 0.0000) and Pb at (0.1881, 0.6881, 0.5000).

The formation energy comes out at -82 meV per atom. For the energy above the most stable polymorph in this dataset, the calculation gives 0.00 kcal/mol of atoms. As for the uncorrected energy: -5.50 eV per atom.

=====

[3]
VASP calculation (GGA-PBE) on a relaxed structure of PIrPb.

The space group is P3m1 (No. 156) and the conventional cell measures 3.6053, 3.6053 and 5.8851 Å, with angles of 90.00, 90.00 and 120.00 degrees. The distinct sites, in fractional coordinates, are P at (0.0000, 0.0000, 0.0000), Ir at (0.6667, 0.3333, 0.8501) and Pb at (0.3333, 0.6667, 0.4664).

The formation energy comes out at -137 meV per atom. As for the uncorrected energy: -6.13 eV per atom.

=====

[4]
VASP calculation (GGA-PBE) on a relaxed structure of P4IrPb.

The space group is F-43m (No. 216) and the conventional cell measures 7.6513, 7.6513 and 7.6513 Å, with angles of 90.00, 90.00 and 90.00 degrees. The distinct sites, in fractional coordinates, are P at (0.1055, 0.1055, 0.1055), Ir at (0.2500, 0.2500, 0.7500) and Pb at (0.0000, 0.0000, 0.5000).

The formation energy comes out at 824 meV per atom. As for the uncorrected energy: -4.88 eV per atom.

=====

[5]
VASP calculation (GGA-PBE) on a relaxed structure of PIrPb.

The space group is F-43m (No. 216) and the conventional cell measures 6.2740, 6.2740 and 6.2740 Å, with angles of 90.00, 90.00 and 90.00 degrees. The distinct sites, in fractional coordinates, are P at (0.0000, 0.0000, 0.0000), Ir at (0.2500, 0.2500, 0.7500) and Pb at (0.0000, 0.0000, 0.5000).

The formation energy comes out at 258 meV per atom. As for the uncorrected energy: -5.74 eV per atom.

=====

[6]
VASP calculation (GGA-PBE) on a relaxed structure of TaTePIrPtPb.

The space group is P1 (No. 1) and the conventional cell measures 3.3269, 4.8715 and 9.3672 Å, with angles of 76.35, 79.97 and 70.05 degrees. The distinct sites, in fractional coordinates, are Ta at (0.0000, 0.0000, 0.0000), Te at (0.8078, 0.0884, 0.3025), P at (0.6883, 0.5483, 0.0759), Ir at (0.3092, 0.4685, 0.9106), Pt at (0.6314, 0.9586, 0.7745) and Pb at (0.9590, 0.4536, 0.6223).

For the energy above the most stable polymorph in this dataset, the calculation gives 0.62 kcal/mol of atoms. Its energy relative to the elements, uncorrected is -150 kJ/mol of formula units. As for the uncorrected energy: -6.76 eV per atom.